Below is a geometry-optimized MnFe2O2 structure, with properties calculated at the PBE with a Hubbard U level.

- Offset from the most stable computed form: 2.05 eV per formula unit

Unit cell a=6.546 b=6.546 c=2.743 alpha=90.00 beta=90.00 gamma=90.00
Last column: magnetic moment on the atom in μB.
Positions (direct):
Mn 0.000 0.000 0.000  4.30
Mn 0.500 0.500 0.000  4.31
Fe 0.364 0.864 0.000  3.40
Fe 0.864 0.636 0.000  3.41
Fe 0.636 0.136 0.000  3.40
Fe 0.136 0.364 0.000  3.41
O 0.169 0.669 0.500  0.17
O 0.669 0.831 0.500  0.17
O 0.831 0.331 0.500  0.17
O 0.331 0.169 0.500  0.17